No. 1
The following is a DFT calculation (PBE) of a relaxed Ta5VW6 crystal.

Computed properties:
Energy of formation from the pure elements (meV/atom): -83
N(E_F) (states/eV/atom): 0.81

Cell: 4.5592 7.8771 7.8771 Å, 119.82 106.82 106.82°
Closest atoms and distances in Å follow each position.
Fractional positions:
W 0.2556 0.7556 0.7556  6 Ta 2.76-2.81, 2 V 2.77
W 0.2472 0.4117 0.0827  1 V 2.75, 7 Ta 2.77-2.82
W 0.2472 0.0827 0.4117  1 V 2.75, 7 Ta 2.77-2.82
W 0.7528 0.5883 0.9173  1 V 2.75, 7 Ta 2.77-2.82
W 0.7528 0.9173 0.5883  1 V 2.75, 7 Ta 2.77-2.82
W 0.7444 0.2444 0.2444  6 Ta 2.76-2.81, 2 V 2.77
Ta 0.5000 0.1663 0.8337  8 W 2.76-2.82
Ta 0.0000 0.6663 0.3337  8 W 2.80
Ta 0.5000 0.5000 0.5000  8 W 2.77-2.81
Ta 0.5000 0.8337 0.1663  8 W 2.76-2.82
Ta 0.0000 0.3337 0.6663  8 W 2.80
V 0.0000 0.0000 0.0000  8 W 2.75-2.77

No. 2
The following is a DFT calculation (PBE) of a relaxed TaV2W6 crystal.

Computed properties:
Energy of formation from the pure elements (meV/atom): 298
N(E_F) (states/eV/atom): 0.93
Relative energy among the computed polymorphs (meV per atom): 0

Cell: 5.0844 6.4077 7.3039 Å, 137.72 69.54 113.44°
Closest atoms and distances in Å follow each position.
Fractional positions:
W 0.6095 0.1605 0.9421  1 V 2.36, 1 W 2.51
W 0.7558 0.8842 0.3725  2 V 2.59-2.60, 2 W 2.83-2.84
W 0.2442 0.1158 0.6275  2 V 2.59-2.60, 2 W 2.83-2.84
W 0.2566 0.5004 0.5000  2 W 2.48-2.61
W 0.7434 0.4997 0.5000  2 W 2.48-2.61
W 0.3905 0.8395 0.0579  1 V 2.36, 1 W 2.51
V 0.8137 0.4701 0.8409  3 W 2.36-2.60, 1 Ta 2.48
V 0.1863 0.5299 0.1591  3 W 2.36-2.60, 1 Ta 2.48
Ta 0.0000 0.0000 0.0000  2 V 2.48

No. 3
The following is a DFT calculation (PBE) of a relaxed TaV6W12 crystal.

Computed properties:
Energy of formation from the pure elements (meV/atom): 876
N(E_F) (states/eV/atom): 1.20

Cell: 7.0787 7.0787 7.0787 Å, 102.98 102.98 102.98°
Closest atoms and distances in Å follow each position.
Fractional positions:
V 0.1902 0.7492 0.1902  4 W 2.31-2.46
V 0.7492 0.1902 0.1902  4 W 2.31-2.46
V 0.8098 0.2508 0.8098  4 W 2.31-2.46
V 0.2508 0.8098 0.8098  4 W 2.31-2.46
V 0.8098 0.8098 0.2508  4 W 2.31-2.46
V 0.1902 0.1902 0.7492  4 W 2.31-2.46
W 0.5000 0.1354 0.8646  4 V 2.31-2.46
W 0.8646 0.5000 0.1354  4 V 2.31-2.46
W 0.5427 0.5427 0.7975  8 W 2.82-3.03, 3 V 3.00-3.10
W 0.8646 0.1354 0.5000  4 V 2.31-2.46
W 0.4573 0.4573 0.2025  8 W 2.82-3.03, 3 V 3.00-3.10
W 0.1354 0.5000 0.8646  4 V 2.31-2.46
W 0.1354 0.8646 0.5000  4 V 2.31-2.46
W 0.2025 0.4573 0.4573  8 W 2.82-3.03, 3 V 3.00-3.10
W 0.5427 0.7975 0.5427  8 W 2.82-3.03, 3 V 3.00-3.10
W 0.5000 0.8646 0.1354  4 V 2.31-2.46
W 0.7975 0.5427 0.5427  8 W 2.82-3.03, 3 V 3.00-3.10
W 0.4573 0.2025 0.4573  8 W 2.82-3.03, 3 V 3.00-3.10
Ta 0.0000 0.0000 0.0000  6 V 2.85

No. 4
The following is a DFT calculation (PBE) of a relaxed Ta2V4W crystal.

Computed properties:
Energy of formation from the pure elements (meV/atom): 1282
N(E_F) (states/eV/atom): 1.45

Cell: 4.4925 4.4925 7.2391 Å, 71.92 71.92 90.00°
Closest atoms and distances in Å follow each position.
Fractional positions:
V 0.5000 0.0000 0.0000  2 W 2.25
V 0.1887 0.1887 0.6226  1 W 2.46, 1 Ta 2.46
V 0.0000 0.5000 0.0000  2 W 2.25
V 0.8113 0.8113 0.3774  1 W 2.46, 1 Ta 2.46
Ta 0.3781 0.3781 0.2439  5 V 2.46-2.75
Ta 0.6219 0.6219 0.7561  5 V 2.46-2.75
W 0.0000 0.0000 0.0000  6 V 2.25-2.46

No. 5
The following is a DFT calculation (PBE) of a relaxed TaV3W3 crystal.

Computed properties:
Energy of formation from the pure elements (meV/atom): 314
N(E_F) (states/eV/atom): 0.81

Cell: 5.3395 6.4846 6.4812 Å, 92.70 89.99 90.01°
Closest atoms and distances in Å follow each position.
Fractional positions:
V 0.2500 0.5515 0.9534  1 V 2.45, 5 W 2.50-2.67
V 0.7500 0.4485 0.0466  1 V 2.45, 5 W 2.50-2.67
V 0.7500 0.0472 0.4479  1 V 2.45, 5 W 2.50-2.67
V 0.2500 0.9528 0.5521  1 V 2.45, 5 W 2.50-2.67
V 0.7500 0.0729 0.0726  2 V 2.45, 4 W 2.73
V 0.2500 0.9271 0.9274  2 V 2.45, 4 W 2.73
W 0.2500 0.5682 0.5684  2 V 2.50
W 0.7500 0.4318 0.4316  2 V 2.50
W 0.5000 0.2445 0.7554  6 V 2.62-2.73, 4 W 2.67-2.81
W 0.5000 0.7555 0.2446  6 V 2.62-2.73, 4 W 2.67-2.81
W 0.0001 0.2445 0.7554  6 V 2.62-2.73, 4 W 2.67-2.81
W 0.9999 0.7555 0.2446  6 V 2.62-2.73, 4 W 2.67-2.81
Ta 0.7500 0.7547 0.7543  5 V 2.81-3.09, 1 W 2.89
Ta 0.2500 0.2453 0.2457  5 V 2.81-3.09, 1 W 2.89

No. 6
The following is a DFT calculation (PBE) of a relaxed YTaVW2 crystal.

Computed properties:
Energy of formation from the pure elements (meV/atom): 2982
N(E_F) (states/eV/atom): 1.62

Cell: 4.7588 4.8479 4.7588 Å, 90.00 90.00 90.00°
Closest atoms and distances in Å follow each position.
Fractional positions:
W 0.5000 0.0000 0.0000  2 Y 2.38
W 0.0000 0.0000 0.5000  2 Y 2.38
V 0.5000 0.5000 0.5000  4 Ta 3.36, 8 W 3.40
Y 0.0000 0.0000 0.0000  4 W 2.38, 2 Ta 2.42
Ta 0.0000 0.5000 0.0000  2 Y 2.42

No. 7
The following is a DFT calculation (PBE) of a relaxed ZrTaV2W crystal.

Computed properties:
Energy of formation from the pure elements (meV/atom): 1748
N(E_F) (states/eV/atom): 1.25
Relative energy among the computed polymorphs (meV per atom): 0

Cell: 4.4850 5.0882 4.4850 Å, 90.00 90.00 90.00°
Closest atoms and distances in Å follow each position.
Fractional positions:
V 0.5000 0.0000 0.0000  2 Ta 2.24
V 0.0000 0.0000 0.5000  2 Ta 2.24
Zr 0.0000 0.5000 0.0000  2 Ta 2.54
W 0.5000 0.5000 0.5000  4 Zr 3.17, 8 V 3.39
Ta 0.0000 0.0000 0.0000  4 V 2.24

No. 8
The following is a DFT calculation (PBE) of a relaxed ZrTaV2W crystal.

Computed properties:
Energy of formation from the pure elements (meV/atom): 2002
N(E_F) (states/eV/atom): 1.28
Relative energy among the computed polymorphs (meV per atom): 254

Cell: 4.4006 4.9897 4.4006 Å, 90.00 90.00 90.00°
Closest atoms and distances in Å follow each position.
Fractional positions:
Zr 0.0000 0.0000 0.0000  4 V 2.20
V 0.5000 0.0000 0.0000  2 Zr 2.20
V 0.0000 0.0000 0.5000  2 Zr 2.20
W 0.5000 0.5000 0.5000  4 Ta 3.11, 8 V 3.33
Ta 0.0000 0.5000 0.0000  2 Zr 2.49